Record 1
Compound: Ac4NiTe3
Source: the Alexandria database
Functional: PBE-GGA
Structure: relaxed

density of states at the Fermi level = 6.19 states/eV per cell
magnetic moment = 0.0 Bohr magnetons per cell
crystal system = orthorhombic
formation energy without anion corrections = -1.144 eV per atom
calculated total energy = -0.187 hartree per atom

POSCAR file:
```
Ac4NiTe3
1.0
-3.9423 1.5090 -1.4796
-3.4194 -7.3200 1.6454
-0.7280 4.7014 6.7342
Ni Ac Te
1 4 3
Cartesian
-1.9711 0.7545 -0.7398
-0.8760 -0.5531 1.7699
-4.7467 -3.6897 2.1230
-3.2714 -2.0655 6.6097
-3.3430 2.5801 4.7770
-0.3640 2.3507 3.3671
-4.0449 -0.5548 3.4500
-1.7097 -3.6600 0.8227
```

Record 2
Compound: LiTmRhAu
Source: the Alexandria database
Functional: PBE-GGA
Structure: relaxed

density of states at the Fermi level = 1.78 states/eV per cell
magnetic moment = 0.0 Bohr magnetons per cell
formation enthalpy at 0 K = -0.624 eV/atom
energy relative to the lowest polymorph listed for this composition = 59.7 meV per atom
crystal system = cubic
calculated total energy = -0.179 hartree per atom

POSCAR file:
```
LiTmRhAu
1.0
-3.9962 -2.0381 1.2746
-1.8863 -3.3150 -2.6834
-0.0010 -4.4384 1.4314
Rh Tm Au Li
1 1 1 1
Cartesian
-2.9417 -4.8957 0.0113
-1.4709 -2.4479 0.0056
0.0000 0.0000 0.0000
-4.4126 -7.3436 0.0169
```

Record 3
Compound: Ce2TaGe2Ru5
Source: the Alexandria database
Functional: PBE-GGA
Structure: relaxed

density of states at the Fermi level = 17.70 states/eV per cell
magnetic moment = 1.2 Bohr magnetons per cell
formation enthalpy at 0 K = -0.422 eV/atom
crystal system = tetragonal
calculated total energy = -0.307 hartree per atom

POSCAR file:
```
Ce2TaGe2Ru5
1.0
-1.1562 0.1109 -3.2020
-9.5201 -0.4084 3.4235
-0.2725 10.1116 0.4485
Ce Ta Ge Ru
4 2 4 10
Cartesian
-6.4463 1.4666 2.3785
-3.3464 8.2366 1.4936
-1.7286 3.2444 0.7365
-8.0641 6.4588 3.1355
0.0000 0.0000 0.0000
-4.8963 4.8516 1.9360
-1.3677 6.2760 0.7112
-8.4250 3.4272 3.1609
-6.1955 8.5845 2.5344
-3.5972 1.1187 1.3377
-2.5457 0.6406 -0.8703
-8.4032 9.1735 1.5403
-1.4245 8.0694 -1.0179
-7.4060 4.1546 1.0064
-9.5244 1.7447 1.6879
-3.5429 5.6595 -0.3364
-6.1599 6.9507 0.6533
-4.7890 2.8634 0.0167
-5.3382 -0.1488 0.1108
-0.7144 5.1113 -1.3767
```